Compound: La10Ge3Bi3
Source: Alexandria
Functional: GGA-PBE
Structure: optimized geometry Values from VASP.

Cell and atoms, written as Quantum ESPRESSO input:
```
&SYSTEM
  ibrav = 0, nat = 16, ntyp = 3
/
ATOMIC_SPECIES
La 138.91 La.upf
Ge 72.64 Ge.upf
Bi 208.98 Bi.upf
CELL_PARAMETERS angstrom
-0.6765 -2.7623 -6.1262
9.3264 0.5482 -1.2771
-3.7802 -7.7109 3.8943
ATOMIC_POSITIONS crystal
La 0.2720 0.6667 0.3333
La 0.2720 0.3333 0.6667
La 0.7280 0.3333 0.6667
La 0.7280 0.6667 0.3333
La 0.5000 0.0000 0.7520
La 0.5000 0.7520 0.0000
La 0.5000 0.2480 0.2480
La 0.0000 0.0000 0.2509
La 0.0000 0.2509 0.0000
La 0.0000 0.7491 0.7491
Ge 0.5000 0.0000 0.3804
Ge 0.5000 0.3804 0.0000
Ge 0.5000 0.6196 0.6196
Bi 0.0000 0.0000 0.6096
Bi 0.0000 0.6096 0.0000
Bi 0.0000 0.3904 0.3904
```

Output
VASP energy: -5.41 eV per atom
Space group: P-62m, No. 189
Theoretical density: 7.13 g cm⁻³


Compound: Mg2SiSe4
Source: Alexandria
Functional: GGA-PBE
Structure: optimized geometry Values from VASP.

Cell and atoms, written as Quantum ESPRESSO input:
```
&SYSTEM
  ibrav = 0, nat = 7, ntyp = 3
/
ATOMIC_SPECIES
Mg 24.30 Mg.upf
Si 28.09 Si.upf
Se 78.96 Se.upf
CELL_PARAMETERS angstrom
-0.7630 -4.7908 3.8614
-2.6518 -3.2551 -4.5625
6.2314 2.2200 -0.9925
ATOMIC_POSITIONS crystal
Mg 0.7500 0.2500 0.5000
Mg 0.2500 0.7500 0.5000
Si 0.5000 0.5000 0.0000
Se 0.8400 0.3829 0.2229
Se 0.3829 0.8400 0.2229
Se 0.6171 0.6171 0.7771
Se 0.1600 0.1600 0.7771
```

Output
Energy relative to the elements, uncorrected: -6.25 eV/f.u.
VASP energy: -4.11 eV per atom
Space group: I-42m, No. 121
Theoretical density: 3.36 g cm⁻³


Compound: Na2BiAuCl6
Source: Alexandria
Functional: GGA-PBE
Structure: optimized geometry Values from VASP.

Cell and atoms, written as Quantum ESPRESSO input:
```
&SYSTEM
  ibrav = 0, nat = 10, ntyp = 4
/
ATOMIC_SPECIES
Na 22.99 Na.upf
Bi 208.98 Bi.upf
Au 196.97 Au.upf
Cl 35.45 Cl.upf
CELL_PARAMETERS angstrom
7.1174 -0.0576 0.2762
3.5074 6.2098 0.1359
3.7964 2.0414 6.8535
ATOMIC_POSITIONS crystal
Na 0.5197 0.5127 0.4102
Na 0.0231 0.9953 0.9856
Bi 0.3371 0.3097 0.0186
Au 0.6282 0.8874 0.7266
Cl 0.5977 0.2376 0.2122
Cl 0.2357 0.9350 0.2347
Cl 0.9592 0.5707 0.2191
Cl 0.4284 0.7201 0.7157
Cl 0.7792 0.1056 0.7336
Cl 0.1533 0.3875 0.7589
```

Output
Energy relative to the elements, uncorrected: -11.41 eV/f.u.
VASP energy: -3.23 eV per atom
Space group: P1, No. 1
Theoretical density: 3.71 g cm⁻³


Compound: CS
Source: Alexandria
Functional: GGA-PBE
Structure: optimized geometry Values from VASP.

Cell and atoms, written as Quantum ESPRESSO input:
```
&SYSTEM
  ibrav = 0, nat = 8, ntyp = 2
/
ATOMIC_SPECIES
C 12.01 C.upf
S 32.06 S.upf
CELL_PARAMETERS angstrom
4.2434 0.0000 0.0000
0.0000 4.2434 0.0000
0.0000 0.0000 4.2434
ATOMIC_POSITIONS crystal
C 0.0000 0.0000 0.0000
C 0.0000 0.5000 0.5000
C 0.5000 0.0000 0.5000
C 0.5000 0.5000 0.0000
S 0.5000 0.5000 0.5000
S 0.5000 0.0000 0.0000
S 0.0000 0.5000 0.0000
S 0.0000 0.0000 0.5000
```

Output
Energy relative to the elements, uncorrected: 3.80 eV/f.u.
VASP energy: -4.77 eV per atom
Space group: Fm-3m, No. 225
Theoretical density: 3.83 g cm⁻³


Compound: Dy7HoEr2
Source: Alexandria
Functional: GGA-PBE
Structure: optimized geometry Values from VASP.

Cell and atoms, written as Quantum ESPRESSO input:
```
&SYSTEM
  ibrav = 0, nat = 10, ntyp = 3
/
ATOMIC_SPECIES
Dy 162.50 Dy.upf
Ho 164.93 Ho.upf
Er 167.26 Er.upf
CELL_PARAMETERS angstrom
-5.3825 2.2082 1.8733
-3.8905 2.8955 -7.9564
1.9547 -7.7494 4.8076
ATOMIC_POSITIONS crystal
Dy 0.0004 0.6003 0.4004
Dy 0.9996 0.3997 0.5996
Dy 0.5000 0.7002 0.8005
Dy 0.5000 0.2998 0.1995
Dy 0.0003 0.8002 0.2003
Dy 0.9997 0.1998 0.7997
Dy 0.5000 0.5000 0.0000
Ho 0.0000 0.0000 0.0000
Er 0.5002 0.8998 0.5998
Er 0.4998 0.1002 0.4002
```

Output
VASP energy: -4.57 eV per atom
Space group: P-1, No. 2
Theoretical density: 8.77 g cm⁻³


Compound: Ce2PmIr9
Source: Alexandria
Functional: GGA-PBE
Structure: optimized geometry Values from VASP.

Cell and atoms, written as Quantum ESPRESSO input:
```
&SYSTEM
  ibrav = 0, nat = 12, ntyp = 3
/
ATOMIC_SPECIES
Ce 140.12 Ce.upf
Pm 145.00 Pm.upf
Ir 192.22 Ir.upf
CELL_PARAMETERS angstrom
-3.8994 0.4893 -3.6097
1.0970 -0.5051 -5.1977
-2.5005 -8.6964 -2.4218
ATOMIC_POSITIONS crystal
Ce 0.8610 0.8610 0.4170
Ce 0.1390 0.1390 0.5830
Pm 0.0000 0.0000 0.0000
Ir 0.6672 0.6672 0.9985
Ir 0.3328 0.3328 0.0015
Ir 0.5000 0.5000 0.5000
Ir 0.4175 0.4175 0.2466
Ir 0.9183 0.4175 0.2466
Ir 0.4175 0.9183 0.2466
Ir 0.5825 0.5825 0.7534
Ir 0.5825 0.0817 0.7534
Ir 0.0817 0.5825 0.7534
```

Output
VASP energy: -8.61 eV per atom
Space group: R-3m, No. 166
Theoretical density: 16.41 g cm⁻³


Compound: SrCaWAu2
Source: Alexandria
Functional: GGA-PBE
Structure: optimized geometry Values from VASP.

Cell and atoms, written as Quantum ESPRESSO input:
```
&SYSTEM
  ibrav = 0, nat = 5, ntyp = 4
/
ATOMIC_SPECIES
Sr 87.62 Sr.upf
Ca 40.08 Ca.upf
Au 196.97 Au.upf
W 183.84 W.upf
CELL_PARAMETERS angstrom
5.5294 0.0000 0.0000
0.0000 6.8005 0.0000
0.0000 0.0000 5.5294
ATOMIC_POSITIONS crystal
Sr 0.0000 0.0000 0.0000
Ca 0.0000 0.5000 0.0000
Au 0.0000 0.0000 0.5000
Au 0.5000 0.0000 0.0000
W 0.5000 0.5000 0.5000
```

Output
VASP energy: -2.94 eV per atom
Space group: P4/mmm, No. 123
Theoretical density: 5.63 g cm⁻³


Compound: Hg2MoAu
Source: Alexandria
Functional: GGA-PBE
Structure: optimized geometry Values from VASP.

Cell and atoms, written as Quantum ESPRESSO input:
```
&SYSTEM
  ibrav = 0, nat = 4, ntyp = 3
/
ATOMIC_SPECIES
Au 196.97 Au.upf
Hg 200.59 Hg.upf
Mo 95.94 Mo.upf
CELL_PARAMETERS angstrom
-2.0624 2.6396 -9.2172
-3.2965 -0.1187 -9.2356
-4.8816 2.2390 -8.2057
ATOMIC_POSITIONS crystal
Au 0.7500 0.7500 0.7500
Hg 0.9982 0.9982 0.9982
Hg 0.5018 0.5018 0.5018
Mo 0.2500 0.2500 0.2500
```

Output
VASP energy: -3.25 eV per atom
Space group: R-3m, No. 166
Theoretical density: 15.10 g cm⁻³


Compound: ZrTe2Se
Source: Alexandria
Functional: GGA-PBE
Structure: optimized geometry Values from VASP.

Cell and atoms, written as Quantum ESPRESSO input:
```
&SYSTEM
  ibrav = 0, nat = 4, ntyp = 3
/
ATOMIC_SPECIES
Se 78.96 Se.upf
Te 127.60 Te.upf
Zr 91.22 Zr.upf
CELL_PARAMETERS angstrom
7.4415 0.0085 -0.0576
6.5851 3.4659 -0.0576
0.5416 0.1342 4.6771
ATOMIC_POSITIONS crystal
Se 0.7500 0.7500 0.7500
Te 0.9081 0.9081 0.0693
Te 0.5919 0.5919 0.4307
Zr 0.2500 0.2500 0.2500
```

Output
Energy relative to the elements, uncorrected: -2.10 eV/f.u.
VASP energy: -5.11 eV per atom
Space group: C2/m, No. 12
Theoretical density: 5.86 g cm⁻³


Compound: HoMgSiHg
Source: Alexandria
Functional: GGA-PBE
Structure: optimized geometry Values from VASP.

Cell and atoms, written as Quantum ESPRESSO input:
```
&SYSTEM
  ibrav = 0, nat = 4, ntyp = 4
/
ATOMIC_SPECIES
Mg 24.30 Mg.upf
Si 28.09 Si.upf
Hg 200.59 Hg.upf
Ho 164.93 Ho.upf
CELL_PARAMETERS angstrom
4.9564 0.0000 0.0000
2.4782 4.2924 0.0000
2.4782 1.4308 4.0469
ATOMIC_POSITIONS crystal
Mg 0.5000 0.5000 0.5000
Si 0.2500 0.2500 0.2500
Hg 0.7500 0.7500 0.7500
Ho 0.0000 0.0000 0.0000
```

Output
Energy relative to the elements, uncorrected: -1.09 eV/f.u.
VASP energy: -3.25 eV per atom
Space group: F-43m, No. 216
Theoretical density: 8.06 g cm⁻³


Compound: Sm2InBr2
Source: Alexandria
Functional: GGA-PBE
Structure: optimized geometry Values from VASP.

Cell and atoms, written as Quantum ESPRESSO input:
```
&SYSTEM
  ibrav = 0, nat = 5, ntyp = 3
/
ATOMIC_SPECIES
Sm 150.36 Sm.upf
In 114.82 In.upf
Br 79.90 Br.upf
CELL_PARAMETERS angstrom
-3.7107 0.9676 -1.3847
-3.3182 -1.3367 1.9558
-2.3091 9.5617 6.8670
ATOMIC_POSITIONS crystal
Sm 0.6064 0.6064 0.1807
Sm 0.3936 0.3936 0.8193
In 0.0000 0.0000 0.0000
Br 0.2214 0.2214 0.3359
Br 0.7786 0.7786 0.6641
```

Output
Energy relative to the elements, uncorrected: -5.92 eV/f.u.
VASP energy: -4.29 eV per atom
Space group: R-3m, No. 166
Theoretical density: 5.64 g cm⁻³


Compound: SiTeCl2
Source: Alexandria
Functional: GGA-PBE
Structure: optimized geometry Values from VASP.

Cell and atoms, written as Quantum ESPRESSO input:
```
&SYSTEM
  ibrav = 0, nat = 4, ntyp = 3
/
ATOMIC_SPECIES
Cl 35.45 Cl.upf
Si 28.09 Si.upf
Te 127.60 Te.upf
CELL_PARAMETERS angstrom
-2.9620 6.5674 1.2406
-4.1030 4.8515 3.6154
3.0190 3.2232 3.7796
ATOMIC_POSITIONS crystal
Cl 0.1065 0.1065 0.8936
Cl 0.3935 0.3935 0.6064
Si 0.7500 0.7500 0.7500
Te 0.2500 0.2500 0.2500
```

Output
Energy relative to the elements, uncorrected: -0.05 eV/f.u.
VASP energy: -3.08 eV per atom
Space group: Immm, No. 71
Theoretical density: 3.16 g cm⁻³